(1)
The following is a PBE-GGA calculation of a geometry-optimized Li3NdNp2S6 structure, from Alexandria via LeMat-Bulk.

Structure (POSCAR):
```
Li3NdNp2S6
1.0
3.4403 -5.9600 0.0000
3.4403 5.9600 0.0000
-2.2951 0.0000 6.1666
Li Nd Np S
3 1 2 6
direct
0.0000 0.0000 0.0000 Li
0.3306 0.6694 0.0000 Li
0.6694 0.3306 0.0000 Li
0.5000 0.5000 0.5000 Nd
0.1663 0.8337 0.5000 Np
0.8337 0.1663 0.5000 Np
0.0719 0.4158 0.2470 S
0.2421 0.2421 0.7565 S
0.4158 0.0719 0.2470 S
0.5842 0.9281 0.7530 S
0.7579 0.7579 0.2435 S
0.9281 0.5842 0.7530 S
```

Summary:
formation energy without anion corrections: -1491 meV/atom
space group: C2/m (12)

(2)
The following is a PBE-GGA calculation of a geometry-optimized Li2CuSbP2O8 structure, from Alexandria via LeMat-Bulk.

Structure (POSCAR):
```
Li2CuSbP2O8
1.0
4.8316 0.0000 0.0000
0.0000 7.0065 0.0000
-1.7576 0.0000 10.2236
Li Cu Sb P O
4 2 2 4 16
direct
0.0000 0.0000 0.0000 Li
0.0000 0.5000 0.0000 Li
0.5000 0.0000 0.5000 Li
0.5000 0.5000 0.5000 Li
0.0332 0.2500 0.7392 Cu
0.9668 0.7500 0.2608 Cu
0.4511 0.2500 0.2167 Sb
0.5489 0.7500 0.7833 Sb
0.0975 0.7500 0.5682 P
0.4380 0.7500 0.0762 P
0.5620 0.2500 0.9238 P
0.9025 0.2500 0.4318 P
0.1867 0.7500 0.4321 O
0.2184 0.2500 0.4329 O
0.2384 0.2500 0.9187 O
0.2594 0.5781 0.6498 O
0.2594 0.9219 0.6498 O
0.2847 0.7500 0.9253 O
0.3292 0.5678 0.1345 O
0.3292 0.9322 0.1345 O
0.6708 0.0678 0.8655 O
0.6708 0.4322 0.8655 O
0.7153 0.2500 0.0747 O
0.7406 0.0781 0.3502 O
0.7406 0.4219 0.3502 O
0.7616 0.7500 0.0813 O
0.7816 0.7500 0.5671 O
0.8133 0.2500 0.5679 O
```

Summary:
formation energy without anion corrections: -1871 meV/atom
space group: P2_1/m (11)

(3)
The following is a PBE-GGA calculation of a geometry-optimized RbBPt3 structure, from Alexandria via LeMat-Bulk.

Structure (POSCAR):
```
RbBPt3
1.0
4.4105 0.0000 0.0000
0.0000 4.4105 0.0000
0.0000 0.0000 4.4105
Rb B Pt
1 1 3
direct
0.0000 0.0000 0.0000 Rb
0.5000 0.5000 0.5000 B
0.0000 0.5000 0.5000 Pt
0.5000 0.0000 0.5000 Pt
0.5000 0.5000 0.0000 Pt
```

Summary:
space group: Pm-3m (221)
DFT formation energy: 132 meV per atom

(4)
The following is a PBE-GGA calculation of a geometry-optimized TbDyMg2Au4 structure, from Alexandria via LeMat-Bulk.

Structure (POSCAR):
```
TbDyMg2Au4
1.0
2.4630 1.4220 7.9774
-2.4630 1.4220 7.9774
0.0000 -2.8441 7.9774
Tb Dy Mg Au
1 1 2 4
direct
0.0000 0.0000 0.0000 Tb
0.5000 0.5000 0.5000 Dy
0.2500 0.2500 0.2500 Mg
0.7500 0.7500 0.7500 Mg
0.1262 0.1262 0.1262 Au
0.3747 0.3747 0.3747 Au
0.6253 0.6253 0.6253 Au
0.8738 0.8738 0.8738 Au
```

Summary:
space group: R-3m (166)
DFT formation energy: -780 meV per atom

(5)
The following is a PBE-GGA calculation of a geometry-optimized SrLaNi2 structure, from Alexandria via LeMat-Bulk.

Structure (POSCAR):
```
SrLaNi2
1.0
-1.9925 2.0215 6.7489
1.9925 -2.0215 6.7489
1.9925 2.0215 -6.7489
Sr La Ni
1 1 2
direct
0.0000 0.0000 0.0000 Sr
0.7533 0.2533 0.5000 La
0.3061 0.8061 0.5000 Ni
0.4018 0.4018 0.0000 Ni
```

Summary:
space group: Imm2 (44)
ΔE to the lowest computed polymorph: 91.0 meV per atom
DFT formation energy: -77 meV per atom

(6)
The following is a PBE-GGA calculation of a geometry-optimized AlInAg2 structure, from Alexandria via LeMat-Bulk.

Structure (POSCAR):
```
AlInAg2
1.0
2.0377 1.1765 6.1022
-2.0377 1.1765 6.1022
0.0000 -2.3529 6.1022
Al In Ag
1 1 2
direct
0.0000 0.0000 0.0000 Al
0.8278 0.8278 0.8278 In
0.2542 0.2542 0.2542 Ag
0.4063 0.4063 0.4063 Ag
```

Summary:
space group: R3m (160)
DFT formation energy: 157 meV per atom

(7)
The following is a PBE-GGA calculation of a geometry-optimized CsKSbS2 structure, from Alexandria via LeMat-Bulk.

Structure (POSCAR):
```
CsKSbS2
1.0
5.9407 0.0000 0.0000
0.0000 8.0933 0.0000
0.0000 0.0000 7.1992
Cs K Sb S
2 2 2 4
direct
0.2500 0.0000 0.2037 Cs
0.7500 0.0000 0.7963 Cs
0.2500 0.5000 0.4325 K
0.7500 0.5000 0.5675 K
0.0000 0.5000 0.0000 Sb
0.5000 0.5000 0.0000 Sb
0.2500 0.2755 0.7859 S
0.2500 0.7245 0.7859 S
0.7500 0.2755 0.2141 S
0.7500 0.7245 0.2141 S
```

Summary:
formation energy without anion corrections: -687 meV/atom
space group: Pmma (51)

(8)
The following is a PBE-GGA calculation of a geometry-optimized ScVCd3 structure, from Alexandria via LeMat-Bulk.

Structure (POSCAR):
```
ScVCd3
1.0
5.1030 0.0000 0.0000
0.0000 5.1030 0.0000
0.0000 0.0000 5.1030
Sc V Cd
1 1 3
direct
0.0000 0.0000 0.0000 Sc
0.5000 0.5000 0.5000 V
0.0000 0.5000 0.5000 Cd
0.5000 0.0000 0.5000 Cd
0.5000 0.5000 0.0000 Cd
```

Summary:
space group: Pm-3m (221)
ΔE to the lowest computed polymorph: 0.0 meV per atom
DFT formation energy: 693 meV per atom

(9)
The following is a PBE-GGA calculation of a geometry-optimized Tc2AuSN structure, from Alexandria via LeMat-Bulk.

Structure (POSCAR):
```
Tc2AuSN
1.0
5.2276 0.0000 0.0000
0.0000 5.2276 0.0000
0.0000 0.0000 4.6533
Tc Au S N
2 1 1 1
direct
0.0000 0.5000 0.0000 Tc
0.5000 0.0000 0.0000 Tc
0.0000 0.0000 0.0000 Au
0.0000 0.0000 0.5000 S
0.5000 0.5000 0.5000 N
```

Summary:
formation energy without anion corrections: 2665 meV/atom
space group: P4/mmm (123)

(10)
The following is a PBE-GGA calculation of a geometry-optimized ReRh4 structure, from Alexandria via LeMat-Bulk.

Structure (POSCAR):
```
ReRh4
1.0
4.6450 0.0000 0.0000
0.0000 4.6450 0.0000
0.0000 0.0000 4.6450
Re Rh
1 4
direct
0.0000 0.0000 0.0000 Re
0.0000 0.0000 0.5000 Rh
0.0000 0.5000 0.0000 Rh
0.5000 0.0000 0.0000 Rh
0.5000 0.5000 0.5000 Rh
```

Summary:
space group: Pm-3m (221)
ΔE to the lowest computed polymorph: 1538.7 meV per atom
DFT formation energy: 1477 meV per atom

(11)
The following is a PBE-GGA calculation of a geometry-optimized Pm2ErPa2Rh5 structure, from Alexandria via LeMat-Bulk.

Structure (POSCAR):
```
Pm2ErPa2Rh5
1.0
10.9320 0.0000 0.0000
0.0000 10.9320 0.0000
0.0000 0.0000 3.6020
Pm Er Pa Rh
4 2 4 10
direct
0.1714 0.3286 0.0000 Pm
0.3286 0.8286 0.0000 Pm
0.6714 0.1714 0.0000 Pm
0.8286 0.6714 0.0000 Pm
0.0000 0.0000 0.0000 Er
0.5000 0.5000 0.0000 Er
0.1370 0.6370 0.0000 Pa
0.3630 0.1370 0.0000 Pa
0.6370 0.8630 0.0000 Pa
0.8630 0.3630 0.0000 Pa
0.0000 0.5000 0.5000 Rh
0.0532 0.7985 0.5000 Rh
0.2015 0.0532 0.5000 Rh
0.2985 0.5532 0.5000 Rh
0.4468 0.2985 0.5000 Rh
0.5000 0.0000 0.5000 Rh
0.5532 0.7015 0.5000 Rh
0.7015 0.4468 0.5000 Rh
0.7985 0.9468 0.5000 Rh
0.9468 0.2015 0.5000 Rh
```

Summary:
space group: P4/mbm (127)
DFT formation energy: -667 meV per atom

- Which formula does entry 9 have?
  Tc2AuSN